(1)
Hf2CuH2 | PBE | relaxed

VASP energy, eV/atom: -6.481
Calculated volume, Å³ per atom: 12.1

a b c (Å): 3.2231 3.2231 11.6653
angles (deg): 90.00 90.00 90.00
Space group I4/mmm (No. 139)
Inequivalent atoms, fractional coordinates:
Hf  0.0000  0.0000  0.1383 (multiplicity 4)
Cu  0.0000  0.0000  0.5000 (multiplicity 2)
H  0.0000  0.5000  0.2500 (multiplicity 4)

***

(2)
Hf3CuH3 | PBE | relaxed

Energy above the lowest structure with this stoichiometry, eV per atom: 0.000
Calculated volume, Å³ per atom: 12.6

a b c (Å): 5.6132 5.6132 5.6132
angles (deg): 90.00 90.00 90.00
Space group Pm-3n (No. 223)
Inequivalent atoms, fractional coordinates:
Hf  0.0000  0.2500  0.5000 (multiplicity 6)
Cu  0.0000  0.0000  0.0000 (multiplicity 2)
H  0.0000  0.5000  0.2500 (multiplicity 6)

***

(3)
HfCu2H2 | PBE | relaxed

Energy above the lowest structure with this stoichiometry, eV per atom: 0.233
Calculated volume, Å³ per atom: 10.6

a b c (Å): 3.0216 3.0216 11.5577
angles (deg): 90.00 90.00 90.00
Space group I4/mmm (No. 139)
Inequivalent atoms, fractional coordinates:
Hf  0.0000  0.0000  0.0000 (multiplicity 2)
Cu  0.0000  0.0000  0.3326 (multiplicity 4)
H  0.0000  0.5000  0.2500 (multiplicity 4)

***

(4)
HfCuH2 | PBE | relaxed

Energy above the lowest structure with this stoichiometry, eV per atom: 0.033
Calculated volume, Å³ per atom: 10.6

a b c (Å): 5.4855 3.1568 5.2250
angles (deg): 90.00 110.58 90.00
Space group Cm (No. 8)
Inequivalent atoms, fractional coordinates:
Hf  0.0000  0.0000  0.0000 (multiplicity 2)
Cu  0.4833  0.0000  0.4488 (multiplicity 2)
H  0.1012  0.5000  0.8029 (multiplicity 2)
H  0.1407  0.0000  0.4176 (multiplicity 2)

***

(5)
HfCuH2 | PBE | relaxed

Energy above the lowest structure with this stoichiometry, eV per atom: 0.000
Calculated volume, Å³ per atom: 10.2

a b c (Å): 4.0682 4.0682 9.8665
angles (deg): 90.00 90.00 90.00
Space group I-42d (No. 122)
Inequivalent atoms, fractional coordinates:
Hf  0.0000  0.0000  0.0000 (multiplicity 4)
Cu  0.0000  0.0000  0.5000 (multiplicity 4)
H  0.2080  0.2500  0.6250 (multiplicity 8)

***

(6)
Hf2CuH | PBE | relaxed

Energy above the lowest structure with this stoichiometry, eV per atom: 0.346
Calculated volume, Å³ per atom: 15.2

a b c (Å): 6.2451 6.2451 6.2451
angles (deg): 90.00 90.00 90.00
Space group Fm-3m (No. 225)
Inequivalent atoms, fractional coordinates:
Hf  0.2500  0.2500  0.2500 (multiplicity 8)
Cu  0.0000  0.0000  0.0000 (multiplicity 4)
H  0.0000  0.0000  0.5000 (multiplicity 4)

***

(7)
Hf3CuH3 | PBE | relaxed

Energy above the lowest structure with this stoichiometry, eV per atom: 0.033
Calculated volume, Å³ per atom: 13.0

a b c (Å): 5.7722 5.7722 18.9305
angles (deg): 90.00 90.00 120.00
Space group R-3 (No. 148, hexagonal axes)
Inequivalent atoms, fractional coordinates:
Hf  0.0007  0.6810  0.0920 (multiplicity 18)
Cu  0.0000  0.0000  0.3332 (multiplicity 6)
H  0.0011  0.6575  0.8667 (multiplicity 18)

***

(8)
Hf2CuH | PBE | relaxed

Energy above the lowest structure with this stoichiometry, eV per atom: 0.137
Calculated volume, Å³ per atom: 15.0

a b c (Å): 3.2041 3.2041 20.2159
angles (deg): 90.00 90.00 120.00
Space group R-3m (No. 166, hexagonal axes)
Inequivalent atoms, fractional coordinates:
Hf  0.0000  0.0000  0.2305 (multiplicity 6)
Cu  0.0000  0.0000  0.0000 (multiplicity 3)
H  0.0000  0.0000  0.5000 (multiplicity 3)

***

| no. | DOS(E_F) (states/eV per cell) | total magnetization (μB/atom) |
| --- | --- | --- |
| 1 | 8.531 | 0.00 |
| 2 | 6.876 | 0.00 |
| 3 | 4.284 | 0.00 |
| 4 | 4.438 | 0.00 |
| 5 | 4.801 | 0.00 |
| 6 | 12.262 | 0.00 |
| 7 | 26.908 | 0.00 |
| 8 | 9.378 | 0.00 |